No. 1
A geometry-optimized Y2Co5Cu5 structure, computed with PBE-GGA.

* magnetic moment: 0.447 μB per atom
* space-group type: Pmmm (47)
* E: -5.807 eV per atom
* DOS at the Fermi energy: 12.037 states/eV/f.u.
* energy relative to the elements: -62.3 meV/atom

The structure in POSCAR format:
```
Y2Co5Cu5
1.0
4.048 0.000 0.000
0.000 4.996 0.000
0.000 0.000 8.490
Co Cu Y
5 5 2
direct
0.000 0.500 0.348
0.000 0.000 0.161
0.000 0.000 0.839
0.000 0.500 0.652
0.500 0.500 0.500
0.500 0.250 0.748
0.500 0.750 0.748
0.500 0.750 0.252
0.500 0.250 0.252
0.500 0.000 0.000
0.000 0.500 0.000
0.000 0.000 0.500
```

No. 2
A geometry-optimized LiAl6Fe structure, computed with PBE-GGA.

* magnetic moment: 0.144 μB per atom
* space-group type: R-3m (166)
* E: -4.068 eV per atom
* DOS at the Fermi energy: 2.977 states/eV/f.u.
* energy relative to the elements: 35.8 meV/atom

The structure in POSCAR format:
```
LiAl6Fe
1.0
-3.704 3.766 1.185
-4.615 -1.290 4.286
0.243 0.857 5.340
Fe Li Al
1 1 6
direct
0.500 0.500 0.000
0.000 0.000 0.000
0.234 0.766 0.537
0.234 0.304 0.463
0.766 0.696 0.537
0.304 0.234 0.000
0.696 0.766 0.000
0.766 0.234 0.463
```

No. 3
A geometry-optimized ReTcHg2 structure, computed with PBE-GGA.

* magnetic moment: 0.000 μB per atom
* space-group type: Cmm2 (35)
* E: -5.316 eV per atom
* DOS at the Fermi energy: 2.637 states/eV/f.u.
* energy relative to the elements: 538.6 meV/atom

The structure in POSCAR format:
```
ReTcHg2
1.0
2.855 -0.004 0.000
-1.326 2.529 0.000
0.000 0.000 10.300
Hg Tc Re
2 1 1
direct
0.000 0.000 0.979
0.500 0.500 0.268
0.500 0.500 0.726
0.000 0.000 0.526
```

No. 4
A geometry-optimized KRb structure, computed with PBE-GGA.

* magnetic moment: 0.000 μB per atom
* space-group type: Cmme (67)
* E: -1.024 eV per atom
* DOS at the Fermi energy: 1.896 states/eV/f.u.
* energy relative to the elements: 8.8 meV/atom

The structure in POSCAR format:
```
KRb
1.0
4.733 -0.032 0.000
-1.554 4.471 0.000
0.000 0.000 15.358
Rb K
2 2
direct
0.750 0.250 0.133
0.250 0.750 0.867
0.250 0.750 0.383
0.750 0.250 0.617
```

No. 5
A geometry-optimized MnNi4Pt3 structure, computed with PBE-GGA.

* magnetic moment: 0.947 μB per atom
* space-group type: C2/m (12)
* E: -6.126 eV per atom
* DOS at the Fermi energy: 10.779 states/eV/f.u.
* energy relative to the elements: 175.9 meV/atom

The structure in POSCAR format:
```
MnNi4Pt3
1.0
-0.157 0.778 3.989
-2.684 0.345 -0.173
5.445 -11.407 0.364
Mn Pt Ni
1 3 4
direct
0.500 0.000 0.000
0.000 0.500 0.000
0.218 0.086 0.435
0.782 0.914 0.565
0.349 0.738 0.698
0.651 0.262 0.302
0.898 0.483 0.796
0.102 0.517 0.204
```

No. 6
A geometry-optimized Ti2CoMo structure, computed with PBE-GGA.

* magnetic moment: 0.058 μB per atom
* space-group type: P4/mmm (123)
* E: -8.689 eV per atom
* DOS at the Fermi energy: 3.152 states/eV/f.u.
* energy relative to the elements: -257.1 meV/atom

The structure in POSCAR format:
```
Ti2CoMo
1.0
3.081 0.000 0.000
0.000 3.081 0.000
0.000 0.000 6.138
Mo Ti Co
1 2 1
direct
0.500 0.500 0.500
0.000 0.000 0.758
0.000 0.000 0.242
0.500 0.500 0.000
```